Entry 1:
BaTe2Cl2: optimized geometry, PBE.

Structure (CIF):
```
data_BaTe2Cl2
_cell_length_a 4.1625
_cell_length_b 4.1625
_cell_length_c 12.1486
_cell_angle_alpha 80.14
_cell_angle_beta 80.14
_cell_angle_gamma 90.00
_symmetry_space_group_name_H-M 'P 1'
_symmetry_Int_Tables_number 1
loop_
_symmetry_equiv_pos_as_xyz
'x,y,z'
loop_
_atom_site_label
_atom_site_fract_x
_atom_site_fract_y
_atom_site_fract_z
Te1 0.2500 0.7500 0.5000
Cl1 0.4321 0.4321 0.1358
Ba1 0.0000 0.0000 0.0000
Cl2 0.5679 0.5679 0.8642
Te2 0.7500 0.2500 0.5000
```

Entry 2:
BaTeCl4: optimized geometry, PBE.

Structure (CIF):
```
data_BaTeCl4
_cell_length_a 6.2356
_cell_length_b 6.2356
_cell_length_c 6.2356
_cell_angle_alpha 60.00
_cell_angle_beta 60.00
_cell_angle_gamma 60.00
_symmetry_space_group_name_H-M 'P 1'
_symmetry_Int_Tables_number 1
loop_
_symmetry_equiv_pos_as_xyz
'x,y,z'
loop_
_atom_site_label
_atom_site_fract_x
_atom_site_fract_y
_atom_site_fract_z
Cl1 0.3739 0.3739 0.3739
Cl2 0.3739 0.8784 0.3739
Cl3 0.8784 0.3739 0.3739
Cl4 0.3739 0.3739 0.8784
Ba1 0.0000 0.0000 0.0000
Te1 0.7500 0.7500 0.7500
```

Entry 3:
Ba4Te3Cl: optimized geometry, PBE.

Properties
Excess energy over the best structure of this formula in the dataset (eV/atom): 0.009

Structure (CIF):
```
data_Ba4Te3Cl
_cell_length_a 4.9404
_cell_length_b 4.9404
_cell_length_c 15.9512
_cell_angle_alpha 81.09
_cell_angle_beta 81.09
_cell_angle_gamma 60.00
_symmetry_space_group_name_H-M 'P 1'
_symmetry_Int_Tables_number 1
loop_
_symmetry_equiv_pos_as_xyz
'x,y,z'
loop_
_atom_site_label
_atom_site_fract_x
_atom_site_fract_y
_atom_site_fract_z
Ba1 0.1234 0.1234 0.6297
Cl1 0.0000 0.0000 0.0000
Ba2 0.8766 0.8766 0.3703
Ba3 0.3718 0.3718 0.8845
Te1 0.5000 0.5000 0.5000
Te2 0.2546 0.2546 0.2361
Ba4 0.6282 0.6282 0.1155
Te3 0.7454 0.7454 0.7639
```

Entry 4:
BaTeCl2: optimized geometry, PBE.

Properties
Excess energy over the best structure of this formula in the dataset (eV/atom): 0.243

Structure (CIF):
```
data_BaTeCl2
_cell_length_a 5.9038
_cell_length_b 5.9038
_cell_length_c 5.9038
_cell_angle_alpha 126.30
_cell_angle_beta 127.00
_cell_angle_gamma 78.82
_symmetry_space_group_name_H-M 'P 1'
_symmetry_Int_Tables_number 1
loop_
_symmetry_equiv_pos_as_xyz
'x,y,z'
loop_
_atom_site_label
_atom_site_fract_x
_atom_site_fract_y
_atom_site_fract_z
Ba1 0.7500 0.2500 0.5000
Cl1 0.0393 0.0393 0.0000
Te1 0.2500 0.7500 0.5000
Cl2 0.4607 0.4607 0.0000
```

Entry 5:
BaTeCl: optimized geometry, PBE.

Structure (CIF):
```
data_BaTeCl
_cell_length_a 7.8294
_cell_length_b 7.8293
_cell_length_c 3.9189
_cell_angle_alpha 75.51
_cell_angle_beta 75.50
_cell_angle_gamma 28.99
_symmetry_space_group_name_H-M 'P 1'
_symmetry_Int_Tables_number 1
loop_
_symmetry_equiv_pos_as_xyz
'x,y,z'
loop_
_atom_site_label
_atom_site_fract_x
_atom_site_fract_y
_atom_site_fract_z
Te1 0.6449 0.6449 0.3551
Cl1 0.3770 0.3770 0.6230
Ba1 0.9781 0.9781 0.0219
```

Entry 6:
BaTe2Cl: optimized geometry, PBE.

Properties
Excess energy over the best structure of this formula in the dataset (eV/atom): 0.290

Structure (CIF):
```
data_BaTe2Cl
_cell_length_a 4.3714
_cell_length_b 5.4486
_cell_length_c 6.1557
_cell_angle_alpha 90.00
_cell_angle_beta 90.00
_cell_angle_gamma 90.00
_symmetry_space_group_name_H-M 'P 1'
_symmetry_Int_Tables_number 1
loop_
_symmetry_equiv_pos_as_xyz
'x,y,z'
loop_
_atom_site_label
_atom_site_fract_x
_atom_site_fract_y
_atom_site_fract_z
Ba1 0.5000 0.5000 0.2500
Te1 0.0000 0.0000 0.0282
Cl1 0.5000 0.5000 0.7500
Te2 0.0000 0.0000 0.4718
```

Entry 7:
BaTe2Cl: optimized geometry, PBE.

Properties
Excess energy over the best structure of this formula in the dataset (eV/atom): 0.158

Structure (CIF):
```
data_BaTe2Cl
_cell_length_a 4.3838
_cell_length_b 4.3838
_cell_length_c 7.5291
_cell_angle_alpha 90.00
_cell_angle_beta 90.00
_cell_angle_gamma 90.00
_symmetry_space_group_name_H-M 'P 1'
_symmetry_Int_Tables_number 1
loop_
_symmetry_equiv_pos_as_xyz
'x,y,z'
loop_
_atom_site_label
_atom_site_fract_x
_atom_site_fract_y
_atom_site_fract_z
Cl1 0.5000 0.5000 0.6754
Te1 0.5000 0.5000 0.1685
Te2 0.0000 0.0000 0.1033
Ba1 0.0000 0.0000 0.5529
```

Entry 8:
BaTeCl2: optimized geometry, PBE.

Properties
Excess energy over the best structure of this formula in the dataset (eV/atom): 0.183

Structure (CIF):
```
data_BaTeCl2
_cell_length_a 4.7042
_cell_length_b 4.7042
_cell_length_c 10.3425
_cell_angle_alpha 96.29
_cell_angle_beta 96.29
_cell_angle_gamma 60.07
_symmetry_space_group_name_H-M 'P 1'
_symmetry_Int_Tables_number 1
loop_
_symmetry_equiv_pos_as_xyz
'x,y,z'
loop_
_atom_site_label
_atom_site_fract_x
_atom_site_fract_y
_atom_site_fract_z
Ba1 0.2500 0.2500 0.2500
Te1 0.7500 0.7500 0.7500
Cl1 0.6064 0.6064 0.3915
Cl2 0.8936 0.8936 0.1085
```

Entry 9:
BaTe2Cl: optimized geometry, PBE.

Properties
Excess energy over the best structure of this formula in the dataset (eV/atom): 0.660

Structure (CIF):
```
data_BaTe2Cl
_cell_length_a 6.4100
_cell_length_b 6.4100
_cell_length_c 6.4100
_cell_angle_alpha 51.92
_cell_angle_beta 51.92
_cell_angle_gamma 51.92
_symmetry_space_group_name_H-M 'P 1'
_symmetry_Int_Tables_number 1
loop_
_symmetry_equiv_pos_as_xyz
'x,y,z'
loop_
_atom_site_label
_atom_site_fract_x
_atom_site_fract_y
_atom_site_fract_z
Te1 0.8022 0.8022 0.8022
Ba1 0.0000 0.0000 0.0000
Cl1 0.5000 0.5000 0.5000
Te2 0.1978 0.1978 0.1978
```

Entry 10:
BaTeCl2: optimized geometry, PBE.

Properties
Excess energy over the best structure of this formula in the dataset (eV/atom): 0.271

Structure (CIF):
```
data_BaTeCl2
_cell_length_a 4.6334
_cell_length_b 5.8957
_cell_length_c 5.9472
_cell_angle_alpha 79.33
_cell_angle_beta 90.00
_cell_angle_gamma 90.00
_symmetry_space_group_name_H-M 'P 1'
_symmetry_Int_Tables_number 1
loop_
_symmetry_equiv_pos_as_xyz
'x,y,z'
loop_
_atom_site_label
_atom_site_fract_x
_atom_site_fract_y
_atom_site_fract_z
Te1 0.5000 0.2500 0.2500
Cl1 0.0000 0.9672 0.9683
Cl2 0.0000 0.5328 0.5317
Ba1 0.5000 0.7500 0.7500
```

Entry 11:
BaTeCl: optimized geometry, PBE.

Structure (CIF):
```
data_BaTeCl
_cell_length_a 5.6296
_cell_length_b 5.6296
_cell_length_c 5.6296
_cell_angle_alpha 60.00
_cell_angle_beta 60.00
_cell_angle_gamma 60.00
_symmetry_space_group_name_H-M 'P 1'
_symmetry_Int_Tables_number 1
loop_
_symmetry_equiv_pos_as_xyz
'x,y,z'
loop_
_atom_site_label
_atom_site_fract_x
_atom_site_fract_y
_atom_site_fract_z
Te1 0.5000 0.5000 0.5000
Ba1 0.7500 0.7500 0.7500
Cl1 0.0000 0.0000 0.0000
```

Entry 12:
Ba4TeCl: optimized geometry, PBE.

Structure (CIF):
```
data_Ba4TeCl
_cell_length_a 7.3173
_cell_length_b 7.3173
_cell_length_c 7.3173
_cell_angle_alpha 60.00
_cell_angle_beta 60.00
_cell_angle_gamma 60.00
_symmetry_space_group_name_H-M 'P 1'
_symmetry_Int_Tables_number 1
loop_
_symmetry_equiv_pos_as_xyz
'x,y,z'
loop_
_atom_site_label
_atom_site_fract_x
_atom_site_fract_y
_atom_site_fract_z
Ba1 0.8776 0.3741 0.3741
Ba2 0.3741 0.8776 0.3741
Te1 0.0000 0.0000 0.0000
Cl1 0.7500 0.7500 0.7500
Ba3 0.3741 0.3741 0.8776
Ba4 0.3741 0.3741 0.3741
```

Entry 13:
BaTeCl3: optimized geometry, PBE.

Properties
Excess energy over the best structure of this formula in the dataset (eV/atom): 0.000

Structure (CIF):
```
data_BaTeCl3
_cell_length_a 6.0253
_cell_length_b 6.0253
_cell_length_c 6.0253
_cell_angle_alpha 90.00
_cell_angle_beta 90.00
_cell_angle_gamma 90.00
_symmetry_space_group_name_H-M 'P 1'
_symmetry_Int_Tables_number 1
loop_
_symmetry_equiv_pos_as_xyz
'x,y,z'
loop_
_atom_site_label
_atom_site_fract_x
_atom_site_fract_y
_atom_site_fract_z
Cl1 0.0000 0.0000 0.5000
Te1 0.5000 0.5000 0.5000
Cl2 0.5000 0.0000 0.0000
Ba1 0.0000 0.0000 0.0000
Cl3 0.0000 0.5000 0.0000
```

Entry 14:
Ba2TeCl2: optimized geometry, PBE.

Structure (CIF):
```
data_Ba2TeCl2
_cell_length_a 4.7635
_cell_length_b 4.7635
_cell_length_c 8.6222
_cell_angle_alpha 73.96
_cell_angle_beta 73.96
_cell_angle_gamma 90.00
_symmetry_space_group_name_H-M 'P 1'
_symmetry_Int_Tables_number 1
loop_
_symmetry_equiv_pos_as_xyz
'x,y,z'
loop_
_atom_site_label
_atom_site_fract_x
_atom_site_fract_y
_atom_site_fract_z
Te1 0.0000 0.0000 0.0000
Ba1 0.6258 0.6258 0.7483
Ba2 0.3742 0.3742 0.2517
Cl1 0.7500 0.2500 0.5000
Cl2 0.2500 0.7500 0.5000
```

E values (in eV/atom) by entry order: -3.6600, -2.5743, -4.1606, -3.4580, -3.7735, -3.5769, -3.7089, -3.5177, -3.2063, -3.4294, -3.6532, -2.4262, -3.1839, -4.2342.
ΔE_f (raw) values (in eV/atom) by entry order: -1.2801, -0.4991, -1.7902, -1.2685, -1.4698, -1.0637, -1.1958, -1.3283, -0.6931, -1.2400, -1.3495, -0.3130, -1.0630, -2.0981.